Compound: Pu2Pa4Sb3N2
Source: the Alexandria database
Functional: PBE
Structure: optimized geometry

Lattice parameters (Å, degrees): 15.0428 15.0428 15.0428 161.60 161.60 26.13
With the nearest neighbours (Å) after each atom.
Element x y z (fractional)
Pu  0.1000  0.1000  0.0000  4 Pa 2.69, 1 Sb 2.93
Pu  0.9000  0.9000  0.0000  4 Pa 2.69, 1 Sb 2.93
Pa  0.1410  0.6410  0.5000  2 N 2.41, 2 Pu 2.69
Pa  0.3590  0.8590  0.5000  2 N 2.41, 2 Pu 2.69
Pa  0.6410  0.1410  0.5000  2 N 2.41, 2 Pu 2.69
Pa  0.8590  0.3590  0.5000  2 N 2.41, 2 Pu 2.69
Sb  0.0000  0.0000  0.0000  2 Pu 2.93
Sb  0.2097  0.2097  0.0000  4 Pa 3.14, 1 Pu 3.22
Sb  0.7903  0.7903  0.0000  4 Pa 3.14, 1 Pu 3.22
N  0.3551  0.3551  0.0000  4 Pa 2.41
N  0.6449  0.6449  0.0000  4 Pa 2.41

Calculated values
Uncorrected formation energy (eV per atom): 0.034
DOS at the Fermi energy (states/eV/f.u.): 17.2
Symmetry: No. 139